No. 1
RbPuPO6: optimized geometry, GGA-PBE.

Unit cell a=5.189 b=5.189 c=6.309 alpha=90.00 beta=90.00 gamma=120.00
Positions (direct):
Rb (0.000, 0.000, 0.000)
Pu (0.333, 0.667, 0.500)
P (0.667, 0.333, 0.500)
O (0.403, 0.052, 0.658)
O (0.403, 0.352, 0.342)
O (0.648, 0.052, 0.342)
O (0.648, 0.597, 0.658)
O (0.948, 0.352, 0.658)
O (0.948, 0.597, 0.342)

No. 2
PuPRuO: optimized geometry, GGA-PBE.

Unit cell a=3.994 b=3.994 c=7.899 alpha=90.00 beta=90.00 gamma=90.00
Positions (direct):
Pu (0.250, 0.250, 0.148)
Pu (0.750, 0.750, 0.852)
P (0.250, 0.250, 0.651)
P (0.750, 0.750, 0.349)
Ru (0.250, 0.750, 0.500)
Ru (0.750, 0.250, 0.500)
O (0.250, 0.750, 0.000)
O (0.750, 0.250, 0.000)

No. 3
PuSbP2O8: optimized geometry, GGA-PBE.

Unit cell a=5.254 b=5.254 c=7.282 alpha=90.00 beta=90.00 gamma=120.00
Positions (direct):
Pu (0.000, 0.000, 0.000)
Sb (0.000, 0.000, 0.500)
P (0.333, 0.667, 0.799)
P (0.667, 0.333, 0.201)
O (0.170, 0.343, 0.728)
O (0.173, 0.830, 0.728)
O (0.333, 0.667, 0.009)
O (0.343, 0.173, 0.272)
O (0.657, 0.827, 0.728)
O (0.667, 0.333, 0.991)
O (0.827, 0.170, 0.272)
O (0.830, 0.657, 0.272)

No. 4
PuScP2O8: optimized geometry, GGA-PBE.

Unit cell a=5.204 b=5.204 c=6.825 alpha=90.00 beta=90.00 gamma=120.00
Positions (direct):
Pu (0.000, 0.000, 0.000)
Sc (0.000, 0.000, 0.500)
P (0.333, 0.667, 0.782)
P (0.667, 0.333, 0.218)
O (0.170, 0.342, 0.706)
O (0.172, 0.830, 0.706)
O (0.333, 0.667, 0.006)
O (0.342, 0.172, 0.294)
O (0.658, 0.828, 0.706)
O (0.667, 0.333, 0.994)
O (0.828, 0.170, 0.294)
O (0.830, 0.658, 0.294)

No. 5
SmPuP2O8: optimized geometry, GGA-PBE.

Unit cell a=5.312 b=5.312 c=7.233 alpha=90.00 beta=90.00 gamma=120.00
Positions (direct):
Sm (0.000, 0.000, 0.000)
Pu (0.000, 0.000, 0.500)
P (0.333, 0.667, 0.304)
P (0.667, 0.333, 0.696)
O (0.175, 0.349, 0.229)
O (0.175, 0.825, 0.229)
O (0.333, 0.667, 0.515)
O (0.349, 0.175, 0.771)
O (0.651, 0.825, 0.229)
O (0.667, 0.333, 0.485)
O (0.825, 0.175, 0.771)
O (0.825, 0.651, 0.771)

No. 6
PuSnP2O8: optimized geometry, GGA-PBE.

Unit cell a=8.071 b=8.071 c=8.071 alpha=35.99 beta=35.99 gamma=35.99
Positions (direct):
Pu (0.000, 0.000, 0.000)
Sn (0.500, 0.500, 0.500)
P (0.248, 0.248, 0.248)
P (0.752, 0.752, 0.752)
O (0.022, 0.434, 0.726)
O (0.181, 0.181, 0.181)
O (0.274, 0.978, 0.566)
O (0.434, 0.726, 0.022)
O (0.566, 0.274, 0.978)
O (0.726, 0.022, 0.434)
O (0.819, 0.819, 0.819)
O (0.978, 0.566, 0.274)

So what do the calculations give for energy? Going down the list: -7.675, -10.300, -7.913, -8.673, -8.531, -7.973 eV/atom.